No. 1
Here is crystalline PmMgBi2 at its relaxed geometry from Alexandria. Energies are from PBE.

## Properties
The calculation puts the formation energy at -0.44 eV per atom. The volume comes out at 116.7 Å³/cell. The value obtained for the total energy is -15.848 eV per cell. The value obtained for the density of states at the Fermi level is 2.712 states/eV/cell.

Lattice parameters (Å, degrees): 4.112 4.112 6.902 90.00 90.00 90.00
Space group P4/mmm (No. 123)
Symmetry-distinct sites (fractional):
Pm 0.000 0.000 0.000
Mg 0.000 0.000 0.500
Bi 0.500 0.500 0.253



No. 2
Here is crystalline PmMgBiPt at its relaxed geometry from Alexandria. Energies are from PBE.

## Properties
The calculation puts the formation energy at -0.61 eV per atom. The volume comes out at 383.8 Å³/cell. The value obtained for the total energy is -74.824 eV per cell. The value obtained for the density of states at the Fermi level is 3.176 states/eV/cell.

Lattice parameters (Å, degrees): 7.267 7.267 7.267 90.00 90.00 90.00
Space group F-43m (No. 216)
Symmetry-distinct sites (fractional):
Pm 0.000 0.000 0.000
Mg 0.000 0.000 0.500
Bi 0.250 0.250 0.250
Pt 0.250 0.250 0.750



No. 3
Here is crystalline PmMgBiRh at its relaxed geometry from Alexandria. Energies are from PBE.

## Properties
The calculation puts the formation energy at -0.37 eV per atom. The volume comes out at 358.1 Å³/cell. The value obtained for the total energy is -76.173 eV per cell. The value obtained for the density of states at the Fermi level is 7.647 states/eV/cell.

Lattice parameters (Å, degrees): 7.101 7.101 7.101 90.00 90.00 90.00
Space group F-43m (No. 216)
Symmetry-distinct sites (fractional):
Pm 0.000 0.000 0.000
Mg 0.250 0.250 0.250
Bi 0.000 0.000 0.500
Rh 0.250 0.250 0.750



No. 4
Here is crystalline PmMgScBi at its relaxed geometry from Alexandria. Energies are from PBE.

## Properties
The calculation puts the formation energy at -0.26 eV per atom. The volume comes out at 430.6 Å³/cell. The value obtained for the total energy is -70.461 eV per cell. The value obtained for the density of states at the Fermi level is 15.926 states/eV/cell.

Lattice parameters (Å, degrees): 7.552 7.552 7.552 90.00 90.00 90.00
Space group F-43m (No. 216)
Symmetry-distinct sites (fractional):
Pm 0.000 0.000 0.000
Mg 0.250 0.250 0.250
Sc 0.000 0.000 0.500
Bi 0.250 0.250 0.750



No. 5
Here is crystalline SrPmMgBi at its relaxed geometry from Alexandria. Energies are from PBE.

## Properties
The calculation puts the formation energy at -0.32 eV per atom. The volume comes out at 516.1 Å³/cell. The value obtained for the total energy is -52.771 eV per cell. The value obtained for the density of states at the Fermi level is 22.603 states/eV/cell.

Lattice parameters (Å, degrees): 8.021 8.021 8.021 90.00 90.00 90.00
Space group F-43m (No. 216)
Symmetry-distinct sites (fractional):
Sr 0.000 0.000 0.000
Pm 0.000 0.000 0.500
Mg 0.250 0.250 0.250
Bi 0.250 0.250 0.750



No. 6
Here is crystalline TbPmMgBi at its relaxed geometry from Alexandria. Energies are from PBE.

## Properties
The calculation puts the formation energy at -0.33 eV per atom. The volume comes out at 464.3 Å³/cell. The value obtained for the total energy is -64.754 eV per cell. The value obtained for the density of states at the Fermi level is 17.600 states/eV/cell.

Lattice parameters (Å, degrees): 7.743 7.743 7.743 90.00 90.00 90.00
Space group F-43m (No. 216)
Symmetry-distinct sites (fractional):
Tb 0.000 0.000 0.000
Pm 0.000 0.000 0.500
Mg 0.250 0.250 0.250
Bi 0.250 0.250 0.750